1.
Material: PSe
Method: DFT, PBE
State: optimized geometry

Lattice parameters (Å, degrees): 3.535 3.535 3.534 90.00 90.00 120.00
Fractional coordinates of all 2 atoms:
P  0.000  0.000  0.000
Se  0.667  0.333  0.500

Results
total magnetic moment	0.000	μB/f.u.
symmetry	P-6m2
ΔE_f (raw)	0.512	eV/atom


2.
Material: Tb2HoCo
Method: DFT, PBE
State: optimized geometry

Lattice parameters (Å, degrees): 10.519 10.519 10.519 19.55 19.55 19.55
Fractional coordinates of all 4 atoms:
Tb  0.113  0.113  0.113
Tb  0.887  0.887  0.887
Ho  0.000  0.000  0.000
Co  0.500  0.500  0.500

Results
total magnetic moment	0.064	μB/f.u.
calculated formation energy	0.73	eV/f.u.
symmetry	R-3m


The highest total magnetic moment belongs to which entry? Tb2HoCo